An optimized crystal structure of Sr2PuFeO6. Source: Alexandria, functional PBE+U.

a b c (Å): 5.808 5.827 10.038
angles (deg): 90.00 125.15 90.00
Space group P2_1/c (No. 14)
Symmetry-distinct sites (fractional):
Sr 0.242 0.028 0.249 x4
Pu 0.500 0.000 0.000 x2
Fe 0.000 0.000 0.500 x2
O 0.176 0.224 0.964 x4
O 0.239 0.713 0.963 x4
O 0.313 0.015 0.744 x4

Properties
Fermi-level density of states   1.0331 states/eV/atom
Calculated volume   278 Å³/cell
VASP energy   -7.8888 eV/atom